(1)
A plane-wave DFT calculation with PBE was carried out for a relaxed structure of Tl3VHg.

- E: -2.89 eV/atom
- Energy above the lowest structure with this stoichiometry: 0 meV/atom
- E_form: 0.417 eV/atom
- Total magnetization: 3.5 μB/cell

a = 5.4622 Å, b = 5.4622 Å, c = 5.4622 Å
α = 90.00°, β = 90.00°, γ = 90.00°
Space group Pm-3m (No. 221)
Unique sites:
Tl 0.0000 0.0000 0.5000 [3 per cell]
V 0.0000 0.0000 0.0000 [1 per cell]
Hg 0.5000 0.5000 0.5000 [1 per cell]


(2)
A plane-wave DFT calculation with PBE was carried out for a relaxed structure of Tl2VHg2.

- E: -2.28 eV/atom
- Energy above the lowest structure with this stoichiometry: 180 meV/atom
- E_form: 0.613 eV/atom
- Total magnetization: 7.4 μB/cell

a = 4.2165 Å, b = 4.2165 Å, c = 15.6090 Å
α = 90.00°, β = 90.00°, γ = 90.00°
Space group I4/mmm (No. 139)
Unique sites:
Tl 0.0000 0.5000 0.2500 [4 per cell]
V 0.0000 0.0000 0.0000 [2 per cell]
Hg 0.0000 0.0000 0.4105 [4 per cell]


- Look up the energy above the lowest structure with this stoichiometry of the first one.
  0 meV/atom